Version A
Density functional theory data (PBE) for Ni3PSe after structural relaxation.

Cell and atoms, written as CIF:
```
data_Ni3PSe
_cell_length_a 4.351
_cell_length_b 4.351
_cell_length_c 4.351
_cell_angle_alpha 90.00
_cell_angle_beta 90.00
_cell_angle_gamma 90.00
_symmetry_space_group_name_H-M 'P m -3 m'
_symmetry_Int_Tables_number 221
_symmetry_space_group_name_Hall '-P 4 2 3'
loop_
_atom_site_label
_atom_site_type_symbol
_atom_site_fract_x
_atom_site_fract_y
_atom_site_fract_z
_atom_site_occupancy
Ni1 Ni 0.000 0.000 0.500 1
P1 P 0.500 0.500 0.500 1
Se1 Se 0.000 0.000 0.000 1
```

***

Version B
Density functional theory data (PBE) for Ni3PSe after structural relaxation.

Cell and atoms, written as CIF:
```
data_Ni3PSe
_cell_length_a 4.227
_cell_length_b 4.227
_cell_length_c 4.227
_cell_angle_alpha 90.00
_cell_angle_beta 90.00
_cell_angle_gamma 90.00
_symmetry_space_group_name_H-M 'P m -3 m'
_symmetry_Int_Tables_number 221
_symmetry_space_group_name_Hall '-P 4 2 3'
loop_
_atom_site_label
_atom_site_type_symbol
_atom_site_fract_x
_atom_site_fract_y
_atom_site_fract_z
_atom_site_occupancy
Ni1 Ni 0.000 0.000 0.500 1
P1 P 0.000 0.000 0.000 1
Se1 Se 0.500 0.500 0.500 1
```

***

The structure with the most favorable energy is version B; the runner-up is 0.464 eV/atom above it.

***

Version A
Density functional theory data (PBE) for Ni2PSe2 after structural relaxation.

Cell and atoms, written as CIF:
```
data_Ni2PSe2
_cell_length_a 3.468
_cell_length_b 3.468
_cell_length_c 13.712
_cell_angle_alpha 90.00
_cell_angle_beta 90.00
_cell_angle_gamma 90.00
_symmetry_space_group_name_H-M 'I 4/m m m'
_symmetry_Int_Tables_number 139
_symmetry_space_group_name_Hall '-I 4 2'
loop_
_atom_site_label
_atom_site_type_symbol
_atom_site_fract_x
_atom_site_fract_y
_atom_site_fract_z
_atom_site_occupancy
Ni1 Ni 0.000 0.500 0.250 1
P1 P 0.000 0.000 0.000 1
Se1 Se 0.000 0.000 0.371 1
```

***

Version B
Density functional theory data (PBE) for Ni2PSe2 after structural relaxation.

Cell and atoms, written as CIF:
```
data_Ni2PSe2
_cell_length_a 7.112
_cell_length_b 7.112
_cell_length_c 3.052
_cell_angle_alpha 90.00
_cell_angle_beta 90.00
_cell_angle_gamma 90.00
_symmetry_space_group_name_H-M 'P 4/m b m'
_symmetry_Int_Tables_number 127
_symmetry_space_group_name_Hall '-P 4 2ab'
loop_
_atom_site_label
_atom_site_type_symbol
_atom_site_fract_x
_atom_site_fract_y
_atom_site_fract_z
_atom_site_occupancy
Ni1 Ni 0.126 0.374 0.000 1
P1 P 0.000 0.000 0.500 1
Se1 Se 0.177 0.677 0.500 1
```

***

The structure with the most favorable energy is version A; the runner-up is 0.104 eV/atom above it.

***

Version A
Density functional theory data (PBE) for SiNi2P after structural relaxation.

Cell and atoms, written as CIF:
```
data_SiNi2P
_cell_length_a 6.762
_cell_length_b 5.721
_cell_length_c 5.075
_cell_angle_alpha 90.00
_cell_angle_beta 90.12
_cell_angle_gamma 90.00
_symmetry_space_group_name_H-M 'P 1 21/c 1'
_symmetry_Int_Tables_number 14
_symmetry_space_group_name_Hall '-P 2ybc'
loop_
_atom_site_label
_atom_site_type_symbol
_atom_site_fract_x
_atom_site_fract_y
_atom_site_fract_z
_atom_site_occupancy
Si1 Si 0.122 0.089 0.313 1
Ni1 Ni 0.134 0.699 0.493 1
Ni2 Ni 0.384 0.198 0.005 1
P1 P 0.370 0.572 0.185 1
```

***

Version B
Density functional theory data (PBE) for SiNi2P after structural relaxation.

Cell and atoms, written as CIF:
```
data_SiNi2P
_cell_length_a 4.987
_cell_length_b 13.643
_cell_length_c 5.903
_cell_angle_alpha 90.00
_cell_angle_beta 90.00
_cell_angle_gamma 90.00
_symmetry_space_group_name_H-M 'P b c a'
_symmetry_Int_Tables_number 61
_symmetry_space_group_name_Hall '-P 2ac 2ab'
loop_
_atom_site_label
_atom_site_type_symbol
_atom_site_fract_x
_atom_site_fract_y
_atom_site_fract_z
_atom_site_occupancy
Si1 Si 0.182 0.060 0.077 1
Ni1 Ni 0.013 0.066 0.698 1
Ni2 Ni 0.014 0.677 0.196 1
P1 P 0.182 0.681 0.560 1
```

***

Version C
Density functional theory data (PBE) for SiNi2P after structural relaxation.

Cell and atoms, written as CIF:
```
data_SiNi2P
_cell_length_a 5.447
_cell_length_b 5.447
_cell_length_c 8.679
_cell_angle_alpha 90.00
_cell_angle_beta 90.00
_cell_angle_gamma 90.00
_symmetry_space_group_name_H-M 'I -4 2 d'
_symmetry_Int_Tables_number 122
_symmetry_space_group_name_Hall 'I -4 2bw'
loop_
_atom_site_label
_atom_site_type_symbol
_atom_site_fract_x
_atom_site_fract_y
_atom_site_fract_z
_atom_site_occupancy
Si1 Si 0.000 0.000 0.000 1
Ni1 Ni 0.234 0.250 0.625 1
P1 P 0.000 0.000 0.500 1
```

***

The structure with the most favorable energy is version B; the runner-up is 0.018 eV/atom above it.

***

Version A
Density functional theory data (PBE) for SiNi3P after structural relaxation.

Cell and atoms, written as CIF:
```
data_SiNi3P
_cell_length_a 4.167
_cell_length_b 4.167
_cell_length_c 4.167
_cell_angle_alpha 90.00
_cell_angle_beta 90.00
_cell_angle_gamma 90.00
_symmetry_space_group_name_H-M 'P m -3 m'
_symmetry_Int_Tables_number 221
_symmetry_space_group_name_Hall '-P 4 2 3'
loop_
_atom_site_label
_atom_site_type_symbol
_atom_site_fract_x
_atom_site_fract_y
_atom_site_fract_z
_atom_site_occupancy
Si1 Si 0.000 0.000 0.000 1
Ni1 Ni 0.000 0.500 0.500 1
P1 P 0.500 0.500 0.500 1
```

***

Version B
Density functional theory data (PBE) for SiNi3P after structural relaxation.

Cell and atoms, written as CIF:
```
data_SiNi3P
_cell_length_a 3.745
_cell_length_b 6.694
_cell_length_c 5.108
_cell_angle_alpha 90.00
_cell_angle_beta 90.00
_cell_angle_gamma 90.00
_symmetry_space_group_name_H-M 'P m c 21'
_symmetry_Int_Tables_number 26
_symmetry_space_group_name_Hall 'P 2c -2'
loop_
_atom_site_label
_atom_site_type_symbol
_atom_site_fract_x
_atom_site_fract_y
_atom_site_fract_z
_atom_site_occupancy
Si1 Si 0.000 0.139 0.000 1
Ni1 Ni 0.000 0.206 0.451 1
Ni2 Ni 0.500 0.069 0.744 1
Ni3 Ni 0.500 0.308 0.131 1
P1 P 0.500 0.372 0.549 1
```

***

The structure with the most favorable energy is version B; the runner-up is 0.615 eV/atom above it.

***

Version A
Density functional theory data (PBE) for SiNiP3 after structural relaxation.

Cell and atoms, written as CIF:
```
data_SiNiP3
_cell_length_a 4.105
_cell_length_b 6.444
_cell_length_c 6.711
_cell_angle_alpha 67.62
_cell_angle_beta 87.06
_cell_angle_gamma 87.59
_symmetry_space_group_name_H-M 'P 1'
_symmetry_Int_Tables_number 1
_symmetry_space_group_name_Hall 'P 1'
loop_
_atom_site_label
_atom_site_type_symbol
_atom_site_fract_x
_atom_site_fract_y
_atom_site_fract_z
_atom_site_occupancy
Si1 Si 0.000 0.000 0.000 1
Si2 Si 0.255 0.475 0.357 1
Ni1 Ni 0.658 0.315 0.918 1
Ni2 Ni 0.701 0.704 0.271 1
P1 P 0.150 0.106 0.453 1
P2 P 0.261 0.594 0.817 1
P3 P 0.406 0.947 0.757 1
P4 P 0.425 0.031 0.196 1
P5 P 0.893 0.518 0.080 1
P6 P 0.902 0.538 0.606 1
```

***

Version B
Density functional theory data (PBE) for SiNiP3 after structural relaxation.

Cell and atoms, written as CIF:
```
data_SiNiP3
_cell_length_a 4.388
_cell_length_b 4.388
_cell_length_c 4.388
_cell_angle_alpha 90.00
_cell_angle_beta 90.00
_cell_angle_gamma 90.00
_symmetry_space_group_name_H-M 'P m -3 m'
_symmetry_Int_Tables_number 221
_symmetry_space_group_name_Hall '-P 4 2 3'
loop_
_atom_site_label
_atom_site_type_symbol
_atom_site_fract_x
_atom_site_fract_y
_atom_site_fract_z
_atom_site_occupancy
Si1 Si 0.000 0.000 0.000 1
Ni1 Ni 0.500 0.500 0.500 1
P1 P 0.000 0.500 0.500 1
```

***

The structure with the most favorable energy is version A; the runner-up is 0.855 eV/atom above it.

***

Version A
Density functional theory data (PBE) for Si3NiP after structural relaxation.

Cell and atoms, written as CIF:
```
data_Si3NiP
_cell_length_a 4.362
_cell_length_b 4.362
_cell_length_c 4.362
_cell_angle_alpha 90.00
_cell_angle_beta 90.00
_cell_angle_gamma 90.00
_symmetry_space_group_name_H-M 'P m -3 m'
_symmetry_Int_Tables_number 221
_symmetry_space_group_name_Hall '-P 4 2 3'
loop_
_atom_site_label
_atom_site_type_symbol
_atom_site_fract_x
_atom_site_fract_y
_atom_site_fract_z
_atom_site_occupancy
Si1 Si 0.000 0.000 0.500 1
Ni1 Ni 0.000 0.000 0.000 1
P1 P 0.500 0.500 0.500 1
```

***

Version B
Density functional theory data (PBE) for Si3NiP after structural relaxation.

Cell and atoms, written as CIF:
```
data_Si3NiP
_cell_length_a 4.416
_cell_length_b 4.416
_cell_length_c 4.416
_cell_angle_alpha 90.00
_cell_angle_beta 90.00
_cell_angle_gamma 90.00
_symmetry_space_group_name_H-M 'P m -3 m'
_symmetry_Int_Tables_number 221
_symmetry_space_group_name_Hall '-P 4 2 3'
loop_
_atom_site_label
_atom_site_type_symbol
_atom_site_fract_x
_atom_site_fract_y
_atom_site_fract_z
_atom_site_occupancy
Si1 Si 0.000 0.000 0.500 1
Ni1 Ni 0.500 0.500 0.500 1
P1 P 0.000 0.000 0.000 1
```

***

The structure with the most favorable energy is version A; the runner-up is 0.542 eV/atom above it.